(A)
HgPd7Au3: relaxed, PBE.

Lattice parameters (Å, degrees): 5.2085 7.0965 7.0965 83.21 118.01 118.01
Last column: nearest neighbours and their distance in Å.
Element x y z (fractional)
Hg 0.5000 0.5000 0.5000  8 Pd 2.60-2.83
Pd 0.3812 0.2108 0.2108  3 Au 2.67-2.74, 5 Pd 2.72-2.90, 1 Hg 2.72
Pd 0.3289 0.0694 0.5832  3 Au 2.72-2.76, 4 Pd 2.72-2.92, 1 Hg 2.83
Pd 0.6711 0.4168 0.9306  3 Au 2.72-2.76, 4 Pd 2.72-2.92, 1 Hg 2.83
Pd 0.3289 0.5832 0.0694  3 Au 2.72-2.76, 4 Pd 2.72-2.92, 1 Hg 2.83
Pd 0.0000 0.5000 0.5000  2 Hg 2.60, 2 Au 2.68, 2 Pd 2.72
Pd 0.6711 0.9306 0.4168  3 Au 2.72-2.76, 4 Pd 2.72-2.92, 1 Hg 2.83
Pd 0.6188 0.7892 0.7892  3 Au 2.67-2.74, 5 Pd 2.72-2.90, 1 Hg 2.72
Au 0.0000 0.7842 0.2158  7 Pd 2.68-2.76
Au 0.5000 0.0000 0.0000  6 Pd 2.67-2.72
Au 0.0000 0.2158 0.7842  7 Pd 2.68-2.76

***

(B)
HgPd7Au3: relaxed, PBE.

Lattice parameters (Å, degrees): 4.9066 6.4125 7.3973 73.74 97.51 120.69
Last column: nearest neighbours and their distance in Å.
Element x y z (fractional)
Hg 0.9942 0.9923 0.0189  9 Pd 2.81-2.94, 2 Au 2.82-2.93
Pd 0.8325 0.8361 0.6687  6 Pd 2.77-2.92, 4 Au 2.83-2.86, 1 Hg 2.91
Pd 0.9193 0.4219 0.8399  7 Pd 2.80-2.89, 4 Au 2.82-2.85, 1 Hg 2.89
Pd 0.5908 0.0856 0.1782  3 Au 2.76-2.82, 6 Pd 2.79-2.89, 2 Hg 2.81-2.83
Pd 0.4157 0.9206 0.8391  7 Pd 2.79-2.89, 3 Au 2.83-2.86, 2 Hg 2.84-2.88
Pd 0.3409 0.3430 0.6690  6 Pd 2.76-2.92, 4 Au 2.82-2.86, 1 Hg 2.94
Pd 0.1018 0.5857 0.1751  5 Pd 2.77-2.89, 4 Au 2.77-2.84, 1 Hg 2.82
Pd 0.1720 0.1729 0.3449  5 Pd 2.76-2.88, 4 Au 2.77-2.85, 1 Hg 2.81
Au 0.7539 0.2613 0.5037  9 Pd 2.77-2.86, 2 Au 2.82-2.93
Au 0.5086 0.5026 0.0119  9 Pd 2.79-2.86, 2 Hg 2.82-2.93
Au 0.2453 0.7530 0.5006  8 Pd 2.76-2.86, 2 Au 2.82-2.93

***

It turns out (B) is the most stable, with the second structure 165 meV/atom higher.

***

(A)
Hg3Pd4Au2: relaxed, PBE.

Lattice parameters (Å, degrees): 4.0870 6.5768 6.6260 107.96 107.96 90.00
Last column: nearest neighbours and their distance in Å.
Element x y z (fractional)
Hg 0.8830 0.3515 0.7660  7 Pd 2.84-3.01, 3 Au 2.96-2.99, 2 Hg 2.96-3.12
Hg 0.1170 0.6485 0.2340  7 Pd 2.84-3.01, 3 Au 2.96-2.99, 2 Hg 2.96-3.12
Hg 0.0000 0.0000 0.0000  6 Pd 2.89-2.94, 4 Au 2.92, 2 Hg 3.12
Pd 0.5546 0.3286 0.1091  6 Hg 2.85-3.01, 2 Au 2.91-2.94, 4 Pd 2.95-3.00
Pd 0.7771 0.6717 0.5543  4 Hg 2.84-2.94, 3 Au 2.89-2.93, 5 Pd 2.95-2.98
Pd 0.4454 0.6714 0.8909  6 Hg 2.85-3.01, 2 Au 2.91-2.94, 4 Pd 2.95-3.00
Pd 0.2229 0.3283 0.4457  4 Hg 2.84-2.94, 3 Au 2.89-2.93, 5 Pd 2.95-2.98
Au 0.3341 0.0004 0.6681  5 Pd 2.89-2.94, 5 Hg 2.92-2.99, 2 Au 2.94
Au 0.6659 0.9996 0.3319  5 Pd 2.89-2.94, 5 Hg 2.92-2.99, 2 Au 2.94

***

(B)
Hg3Pd4Au2: relaxed, PBE.

Lattice parameters (Å, degrees): 4.6218 4.6224 8.6866 89.99 89.99 60.00
Last column: nearest neighbours and their distance in Å.
Element x y z (fractional)
Hg 0.3335 0.3331 0.4293  4 Pd 2.81-2.82, 3 Hg 2.94, 1 Au 3.04
Hg 0.0000 0.0000 0.0000  8 Pd 2.82-2.83
Hg 0.6665 0.6669 0.5707  4 Pd 2.81-2.82, 3 Hg 2.94, 1 Au 3.04
Pd 0.6665 0.6668 0.8955  4 Hg 2.82, 4 Au 2.83-2.85
Pd 0.0004 0.9995 0.3260  4 Hg 2.81-2.83, 3 Au 2.82, 1 Pd 3.02
Pd 0.9996 0.0005 0.6740  4 Hg 2.81-2.83, 3 Au 2.82, 1 Pd 3.02
Pd 0.3335 0.3332 0.1045  4 Hg 2.82, 4 Au 2.83-2.85
Au 0.3331 0.3337 0.7792  7 Pd 2.82-2.85, 1 Hg 3.04
Au 0.6669 0.6663 0.2208  7 Pd 2.82-2.85, 1 Hg 3.04

***

It turns out (B) is the most stable, with the second structure 7 meV/atom higher.

***

(A)
HgPd2Au3: relaxed, PBE.

Lattice parameters (Å, degrees): 2.8823 8.3762 9.6762 108.66 98.57 90.00
Last column: nearest neighbours and their distance in Å.
Element x y z (fractional)
Hg 0.3266 0.9586 0.6532  3 Pd 2.73-2.87, 2 Hg 2.88, 5 Au 2.89-3.04
Hg 0.6734 0.0414 0.3468  3 Pd 2.73-2.87, 2 Hg 2.88, 5 Au 2.89-3.04
Pd 0.3059 0.6206 0.6118  1 Hg 2.73, 4 Au 2.74-2.88, 6 Pd 2.82-3.00
Pd 0.6941 0.3794 0.3882  1 Hg 2.73, 4 Au 2.74-2.88, 6 Pd 2.82-3.00
Pd 0.9353 0.8580 0.8707  5 Pd 2.82-3.00, 4 Au 2.85-3.16, 2 Hg 2.87
Pd 0.0647 0.1420 0.1293  5 Pd 2.82-3.00, 4 Au 2.85-3.16, 2 Hg 2.87
Au 0.3051 0.2852 0.6102  3 Pd 2.80-2.88, 5 Au 2.83-3.00, 3 Hg 2.89-3.04
Au 0.0665 0.7661 0.1329  2 Pd 2.85-3.16, 8 Au 2.88-3.07, 2 Hg 2.92
Au 0.4385 0.5604 0.8770  3 Pd 2.74-2.90, 8 Au 2.83-3.07
Au 0.6949 0.7148 0.3898  3 Pd 2.80-2.88, 5 Au 2.83-3.00, 3 Hg 2.89-3.04
Au 0.5615 0.4396 0.1230  3 Pd 2.74-2.90, 8 Au 2.83-3.07
Au 0.9335 0.2339 0.8671  2 Pd 2.85-3.16, 8 Au 2.88-3.07, 2 Hg 2.92

***

(B)
HgPd2Au3: relaxed, PBE.

Lattice parameters (Å, degrees): 5.5939 5.5939 19.1861 40.98 40.98 61.68
Last column: nearest neighbours and their distance in Å.
Element x y z (fractional)
Hg 0.5002 0.9998 0.7500  4 Pd 2.80, 4 Au 2.87-2.99
Hg 0.4998 0.0002 0.2500  4 Pd 2.80, 4 Au 2.87-2.99
Pd 0.0001 0.9999 0.7500  6 Au 2.76-2.80, 2 Hg 2.80, 2 Pd 2.87
Pd 0.5001 0.4999 0.7500  6 Au 2.76-2.80, 2 Hg 2.80, 2 Pd 2.87
Pd 0.9999 0.0001 0.2500  6 Au 2.76-2.80, 2 Hg 2.80, 2 Pd 2.87
Pd 0.4999 0.5001 0.2500  6 Au 2.76-2.80, 2 Hg 2.80, 2 Pd 2.87
Au 0.2560 0.7560 0.5018  4 Pd 2.76-2.77, 3 Au 2.85-2.87, 1 Hg 2.99
Au 0.7440 0.2440 0.9982  4 Pd 2.76-2.77, 3 Au 2.85-2.87, 1 Hg 2.99
Au 0.7440 0.2440 0.4982  4 Pd 2.76-2.77, 3 Au 2.85-2.87, 1 Hg 2.99
Au 0.2560 0.7560 0.0018  4 Pd 2.76-2.77, 3 Au 2.85-2.87, 1 Hg 2.99
Au 0.0001 0.4999 0.7500  4 Pd 2.80, 2 Au 2.85, 2 Hg 2.87
Au 0.9999 0.5001 0.2500  4 Pd 2.80, 2 Au 2.85, 2 Hg 2.87

***

It turns out (B) is the most stable, with the second structure 22 meV/atom higher.

***

(A)
HgPd4Au3: relaxed, PBE.

Lattice parameters (Å, degrees): 4.6218 6.3969 9.2430 90.00 90.00 90.00
Last column: nearest neighbours and their distance in Å.
Element x y z (fractional)
Au 0.0000 0.0000 0.0000  8 Pd 2.80
Au 0.0000 0.0000 0.5000  8 Pd 2.80
Au 0.5038 0.0000 0.7500  8 Pd 2.80
Au 0.4962 0.0000 0.2500  8 Pd 2.80
Au 0.5033 0.5000 0.7500  8 Pd 2.82
Au 0.4967 0.5000 0.2500  8 Pd 2.82
Hg 0.0000 0.5000 0.0000  8 Pd 2.82
Hg 0.0000 0.5000 0.5000  8 Pd 2.82
Pd 0.5000 0.7519 0.0000  6 Au 2.80-2.82, 2 Hg 2.82
Pd 0.5000 0.7519 0.5000  6 Au 2.80-2.82, 2 Hg 2.82
Pd 0.5000 0.2481 0.0000  6 Au 2.80-2.82, 2 Hg 2.82
Pd 0.5000 0.2481 0.5000  6 Au 2.80-2.82, 2 Hg 2.82
Pd 0.0038 0.7521 0.7500  6 Au 2.80-2.82, 2 Hg 2.82
Pd 0.9962 0.7521 0.2500  6 Au 2.80-2.82, 2 Hg 2.82
Pd 0.9962 0.2479 0.2500  6 Au 2.80-2.82, 2 Hg 2.82
Pd 0.0038 0.2479 0.7500  6 Au 2.80-2.82, 2 Hg 2.82

***

(B)
HgPd4Au3: relaxed, PBE.

Lattice parameters (Å, degrees): 6.1173 6.1173 6.1173 78.55 127.40 126.24
Last column: nearest neighbours and their distance in Å.
Element x y z (fractional)
Hg 0.5655 0.5000 0.0655  4 Pd 2.71-2.98, 4 Au 2.77-2.78
Pd 0.3345 0.7532 0.0878  5 Au 2.69-2.77, 1 Hg 2.71
Pd 0.3345 0.2468 0.5813  5 Au 2.69-2.77, 1 Hg 2.71
Pd 0.8278 0.2486 0.5792  4 Pd 2.75-3.02, 1 Hg 2.98, 5 Au 2.99-3.06
Pd 0.3307 0.7514 0.5792  4 Pd 2.75-3.02, 1 Hg 2.98, 5 Au 2.99-3.06
Au 0.8343 0.2495 0.0838  4 Pd 2.71-2.77, 1 Au 2.74, 1 Hg 2.78
Au 0.0893 0.0000 0.0893  4 Pd 2.69-2.99, 2 Au 2.74, 2 Hg 2.77
Au 0.8343 0.7505 0.5848  4 Pd 2.71-2.77, 1 Au 2.74, 1 Hg 2.78

***

It turns out (A) is the most stable, with the second structure 158 meV/atom higher.

***

(A)
Hg2PdAu6: relaxed, PBE.

Lattice parameters (Å, degrees): 5.5798 7.0452 12.7383 127.74 90.00 90.00
Last column: nearest neighbours and their distance in Å.
Element x y z (fractional)
Hg 0.5000 0.0282 0.1791  8 Au 2.87-2.97, 1 Pd 2.94
Hg 0.0000 0.4718 0.3209  8 Au 2.87-2.97, 1 Pd 2.94
Hg 0.0000 0.5282 0.6791  8 Au 2.87-2.97, 1 Pd 2.94
Hg 0.5000 0.9718 0.8209  8 Au 2.87-2.97, 1 Pd 2.94
Pd 0.5000 0.5000 0.0000  8 Au 2.83-2.89, 2 Hg 2.94
Pd 0.0000 0.0000 0.5000  8 Au 2.83-2.89, 2 Hg 2.94
Au 0.2487 0.2500 0.7504  4 Au 2.79, 2 Pd 2.88-2.89, 2 Hg 2.96
Au 0.2539 0.2499 0.4265  4 Au 2.74-2.84, 1 Pd 2.83, 3 Hg 2.87-2.97
Au 0.2458 0.2502 0.0735  4 Au 2.74-2.84, 1 Pd 2.83, 3 Hg 2.87-2.97
Au 0.7458 0.2498 0.4265  4 Au 2.74-2.84, 1 Pd 2.83, 3 Hg 2.87-2.97
Au 0.7539 0.2501 0.0735  4 Au 2.74-2.84, 1 Pd 2.83, 3 Hg 2.87-2.97
Au 0.7487 0.2500 0.7496  4 Au 2.79, 2 Pd 2.88-2.89, 2 Hg 2.96
Au 0.7513 0.7500 0.2496  4 Au 2.79, 2 Pd 2.88-2.89, 2 Hg 2.96
Au 0.7461 0.7501 0.5735  4 Au 2.74-2.84, 1 Pd 2.83, 3 Hg 2.87-2.97
Au 0.7542 0.7498 0.9265  4 Au 2.74-2.84, 1 Pd 2.83, 3 Hg 2.87-2.97
Au 0.2542 0.7502 0.5735  4 Au 2.74-2.84, 1 Pd 2.83, 3 Hg 2.87-2.97
Au 0.2461 0.7499 0.9265  4 Au 2.74-2.84, 1 Pd 2.83, 3 Hg 2.87-2.97
Au 0.2513 0.7500 0.2504  4 Au 2.79, 2 Pd 2.88-2.89, 2 Hg 2.96

***

(B)
Hg2PdAu6: relaxed, PBE.

Lattice parameters (Å, degrees): 4.0797 7.4567 7.4567 127.30 82.23 82.23
Last column: nearest neighbours and their distance in Å.
Element x y z (fractional)
Hg 0.5000 0.8414 0.1586  8 Au 2.88-2.98, 2 Pd 2.94
Hg 0.5000 0.1586 0.8414  8 Au 2.88-2.98, 2 Pd 2.94
Pd 0.0000 0.0000 0.0000  8 Au 2.92-2.97, 4 Hg 2.94
Au 0.8374 0.4907 0.1786  3 Hg 2.88-2.94, 6 Au 2.89-2.96, 1 Pd 2.97
Au 0.1626 0.5093 0.8214  3 Hg 2.88-2.94, 6 Au 2.89-2.96, 1 Pd 2.97
Au 0.6628 0.6676 0.6676  8 Au 2.91-2.96, 2 Pd 2.92-2.93, 2 Hg 2.98
Au 0.8374 0.1786 0.4907  3 Hg 2.88-2.94, 6 Au 2.89-2.96, 1 Pd 2.97
Au 0.1626 0.8214 0.5093  3 Hg 2.88-2.94, 6 Au 2.89-2.96, 1 Pd 2.97
Au 0.3372 0.3324 0.3324  8 Au 2.91-2.96, 2 Pd 2.92-2.93, 2 Hg 2.98

***

It turns out (B) is the most stable, with the second structure 81 meV/atom higher.

***

(A)
HgPd6Au2: relaxed, PBE.

Lattice parameters (Å, degrees): 4.5830 5.4372 7.4673 111.35 71.81 90.00
Last column: nearest neighbours and their distance in Å.
Element x y z (fractional)
Hg 0.0000 0.0000 0.0000  4 Pd 2.70
Pd 0.7002 0.0503 0.5982  5 Pd 2.63-2.73, 3 Au 2.84-2.93
Pd 0.2998 0.4521 0.4018  5 Pd 2.63-2.73, 3 Au 2.84-2.93
Pd 0.2998 0.9497 0.4018  5 Pd 2.63-2.73, 3 Au 2.84-2.93
Pd 0.5000 0.2614 0.0000  4 Pd 2.59-2.84, 2 Hg 2.70
Pd 0.7002 0.5479 0.5982  5 Pd 2.63-2.73, 3 Au 2.84-2.93
Pd 0.5000 0.7386 0.0000  4 Pd 2.59-2.84, 2 Hg 2.70
Au 0.1088 0.3907 0.7814  10 Pd 2.84-3.01, 1 Au 2.87, 2 Hg 3.07
Au 0.8912 0.6093 0.2186  10 Pd 2.84-3.01, 1 Au 2.87, 2 Hg 3.07

***

(B)
HgPd6Au2: relaxed, PBE.

Lattice parameters (Å, degrees): 4.0742 4.8930 8.6954 71.92 76.45 65.40
Last column: nearest neighbours and their distance in Å.
Element x y z (fractional)
Hg 0.0000 0.5000 0.5000  8 Pd 2.83-2.89, 4 Au 2.95
Pd 0.6636 0.7277 0.9452  9 Pd 2.79-2.86, 3 Au 2.80-2.84
Pd 0.3364 0.2723 0.0548  9 Pd 2.79-2.86, 3 Au 2.80-2.84
Pd 0.0045 0.8301 0.1608  8 Pd 2.77-2.91, 3 Au 2.81-2.85, 1 Hg 2.89
Pd 0.3372 0.9402 0.3855  3 Hg 2.83-2.88, 5 Pd 2.83-2.95, 4 Au 2.83-2.92
Pd 0.9955 0.1699 0.8392  8 Pd 2.77-2.91, 3 Au 2.81-2.85, 1 Hg 2.89
Pd 0.6628 0.0598 0.6145  3 Hg 2.83-2.88, 5 Pd 2.83-2.95, 4 Au 2.83-2.92
Au 0.3248 0.6200 0.7305  10 Pd 2.80-2.92, 2 Hg 2.95
Au 0.6752 0.3800 0.2695  10 Pd 2.80-2.92, 2 Hg 2.95

***

It turns out (B) is the most stable, with the second structure 222 meV/atom higher.

***

(A)
HgPd5Au2: relaxed, PBE.

Lattice parameters (Å, degrees): 4.6395 6.4073 10.2099 90.00 90.00 111.23
Last column: nearest neighbours and their distance in Å.
Element x y z (fractional)
Hg 0.7606 0.5212 0.7500  6 Pd 2.73-2.88, 4 Au 2.98
Hg 0.2394 0.4788 0.2500  6 Pd 2.73-2.88, 4 Au 2.98
Pd 0.9642 0.9285 0.8812  6 Pd 2.57-2.78, 1 Hg 2.78
Pd 0.9642 0.9285 0.6188  6 Pd 2.57-2.78, 1 Hg 2.78
Pd 0.4130 0.8260 0.4234  4 Pd 2.60-2.82, 1 Hg 2.73, 3 Au 2.77-2.84
Pd 0.4130 0.8260 0.0766  4 Pd 2.60-2.82, 1 Hg 2.73, 3 Au 2.77-2.84
Pd 0.5969 0.1937 0.2500  6 Pd 2.78-2.82, 2 Hg 2.88, 2 Au 2.89
Pd 0.4031 0.8063 0.7500  6 Pd 2.78-2.82, 2 Hg 2.88, 2 Au 2.89
Pd 0.5870 0.1740 0.5766  4 Pd 2.60-2.82, 1 Hg 2.73, 3 Au 2.77-2.84
Pd 0.5870 0.1740 0.9234  4 Pd 2.60-2.82, 1 Hg 2.73, 3 Au 2.77-2.84
Pd 0.0357 0.0715 0.1188  6 Pd 2.57-2.78, 1 Hg 2.78
Pd 0.0357 0.0715 0.3812  6 Pd 2.57-2.78, 1 Hg 2.78
Au 0.7869 0.5737 0.4253  6 Pd 2.77-3.01, 2 Au 2.91, 2 Hg 2.98
Au 0.7869 0.5737 0.0747  6 Pd 2.77-3.01, 2 Au 2.91, 2 Hg 2.98
Au 0.2131 0.4263 0.5747  6 Pd 2.77-3.01, 2 Au 2.91, 2 Hg 2.98
Au 0.2131 0.4263 0.9253  6 Pd 2.77-3.01, 2 Au 2.91, 2 Hg 2.98

***

(B)
HgPd5Au2: relaxed, PBE.

Lattice parameters (Å, degrees): 4.0480 4.0480 8.6196 103.58 103.58 90.00
Last column: nearest neighbours and their distance in Å.
Element x y z (fractional)
Hg 0.0000 0.0000 0.0000  12 Pd 2.86-2.87
Pd 0.5000 0.5000 0.0000  4 Hg 2.86, 8 Pd 2.87
Pd 0.6248 0.1248 0.2495  6 Pd 2.86-2.87, 2 Hg 2.87, 4 Au 2.87-2.88
Pd 0.1248 0.6248 0.2495  6 Pd 2.86-2.87, 2 Hg 2.87, 4 Au 2.87-2.88
Pd 0.3752 0.8752 0.7505  6 Pd 2.86-2.87, 2 Hg 2.87, 4 Au 2.87-2.88
Pd 0.8752 0.3752 0.7505  6 Pd 2.86-2.87, 2 Hg 2.87, 4 Au 2.87-2.88
Au 0.2496 0.2496 0.4992  4 Au 2.86, 8 Pd 2.87-2.88
Au 0.7504 0.7504 0.5008  4 Au 2.86, 8 Pd 2.87-2.88

***

It turns out (B) is the most stable, with the second structure 167 meV/atom higher.

***

(A)
HgPd3Au2: relaxed, PBE.

Lattice parameters (Å, degrees): 4.6231 7.3050 6.4384 90.00 90.00 71.55
Last column: nearest neighbours and their distance in Å.
Element x y z (fractional)
Hg 0.3357 0.3287 0.0000  8 Pd 2.81-2.85
Hg 0.6643 0.6713 0.0000  8 Pd 2.81-2.85
Pd 0.8339 0.3329 0.7485  5 Au 2.80-2.82, 3 Hg 2.82-2.85
Pd 0.4995 0.0000 0.2543  6 Au 2.80-2.83, 2 Hg 2.81
Pd 0.1661 0.6671 0.2515  5 Au 2.80-2.82, 3 Hg 2.82-2.85
Pd 0.8333 0.3329 0.2515  5 Au 2.80-2.82, 3 Hg 2.82-2.85
Pd 0.1667 0.6671 0.7485  5 Au 2.80-2.82, 3 Hg 2.82-2.85
Pd 0.5005 0.0000 0.7457  6 Au 2.80-2.83, 2 Hg 2.81
Au 0.0000 0.0000 0.0000  8 Pd 2.82-2.83
Au 0.0000 0.0000 0.5000  8 Pd 2.80-2.81
Au 0.3325 0.3350 0.5000  8 Pd 2.80-2.81
Au 0.6675 0.6650 0.5000  8 Pd 2.80-2.81

***

(B)
HgPd3Au2: relaxed, PBE.

Lattice parameters (Å, degrees): 2.8683 5.4902 13.5558 90.00 96.07 90.00
Last column: nearest neighbours and their distance in Å.
Element x y z (fractional)
Hg 0.3300 0.7500 0.6600  4 Pd 2.79-2.85, 2 Hg 2.87
Hg 0.6700 0.2500 0.3400  4 Pd 2.79-2.85, 2 Hg 2.87
Pd 0.4226 0.5015 0.8453  4 Pd 2.73-2.87, 6 Au 2.84-2.90, 1 Hg 2.85
Pd 0.5774 0.4985 0.1547  4 Pd 2.73-2.87, 6 Au 2.84-2.90, 1 Hg 2.85
Pd 0.4226 0.9985 0.8453  4 Pd 2.73-2.87, 6 Au 2.84-2.90, 1 Hg 2.85
Pd 0.5774 0.0015 0.1547  4 Pd 2.73-2.87, 6 Au 2.84-2.90, 1 Hg 2.85
Pd 0.7414 0.7500 0.4829  2 Hg 2.79, 2 Au 2.79, 2 Pd 2.87
Pd 0.2586 0.2500 0.5171  2 Hg 2.79, 2 Au 2.79, 2 Pd 2.87
Au 0.1526 0.7500 0.3051  6 Pd 2.79-2.84, 2 Au 2.87
Au 0.8474 0.2500 0.6949  6 Pd 2.79-2.84, 2 Au 2.87
Au 0.9993 0.7500 0.9986  4 Au 2.75-2.87, 8 Pd 2.86-2.90
Au 0.0007 0.2500 0.0014  4 Au 2.75-2.87, 8 Pd 2.86-2.90

***

It turns out (A) is the most stable, with the second structure 129 meV/atom higher.